A relaxed KMgAg crystal, computed with PBE.

Lattice parameters (Å, degrees): 5.2547 5.2547 5.2547 60.00 60.00 60.00
Closest atoms and distances in Å follow each position.
Fractional coordinates of all 3 atoms:
Ag 0.7500 0.7500 0.7500  4 Mg 3.22, 4 K 3.22
K 0.0000 0.0000 0.0000  4 Ag 3.22
Mg 0.5000 0.5000 0.5000  4 Ag 3.22

Computed properties:
ΔE to the lowest computed polymorph in meV/atom: 218
Total magnetic moment in μB per atom: 0.00
Energy of formation from the pure elements in eV per atom: 0.20